Rb2PbC | Alexandria via LeMat-Bulk | PBE | relaxed; formation energy from the elements = 1545 meV/atom; volume = 34.45 Å³/atom; space group = Fm-3m, No. 225; ΔE to the lowest computed polymorph = 612 meV per atom; energy = -0.0798 Ha/atom
1.0
2.579 3.836 3.499
-1.496 0.283 5.594
3.689 -1.824 4.083
C Rb Pb
1 2 1
Direct
0.000 0.000 0.000 C
0.750 0.750 0.750 Rb
0.250 0.250 0.250 Rb
0.500 0.500 0.500 Pb